! DySc2CdPd4 | the Alexandria database | PBE | relaxed; values from VASP
! E_tot   -0.208 Ha/atom
! ρ   8.73 g/cm3
&SYSTEM
  ibrav = 0, nat = 8, ntyp = 4
/
ATOMIC_SPECIES
Dy 162.50 Dy.upf
Sc 44.96 Sc.upf
Cd 112.41 Cd.upf
Pd 106.42 Pd.upf
ATOMIC_POSITIONS crystal
Dy 0.0000 0.0000 0.0000
Sc 0.7563 0.7563 0.7312
Sc 0.2437 0.2437 0.2688
Cd 0.5000 0.5000 0.5000
Pd 0.3750 0.3750 0.8751
Pd 0.8777 0.8777 0.3670
Pd 0.1223 0.1223 0.6330
Pd 0.6250 0.6250 0.1249
CELL_PARAMETERS angstrom
-0.6746 -3.8103 -2.7299
-1.4275 -4.0784 1.9378
-8.0848 -0.5543 -1.3360